No. 1
# ErCuGeAu | the Alexandria database | GGA-PBE | optimized geometry
# DOS at the Fermi energy = 10.94 states/eV per cell
# formation energy = -0.399 eV/atom
# magnetization = 0.0 μB per cell
data_ErCuGeAu
_chemical_formula_sum 'Er4 Cu4 Ge4 Au4'
_cell_length_a 6.6775
_cell_length_b 6.6775
_cell_length_c 6.6775
_cell_angle_alpha 90.00
_cell_angle_beta 90.00
_cell_angle_gamma 90.00
_space_group_name_H-M_alt 'F -4 3 m'
_space_group_IT_number 216
_space_group_name_Hall 'F -4 2 3'
loop_
_atom_site_label
_atom_site_type_symbol
_atom_site_fract_x
_atom_site_fract_y
_atom_site_fract_z
Er1 Er 0.0000 0.0000 0.0000
Cu1 Cu 0.0000 0.0000 0.5000
Ge1 Ge 0.2500 0.2500 0.7500
Au1 Au 0.2500 0.2500 0.2500



No. 2
# Er4CuHgAu2 | the Alexandria database | GGA-PBE | optimized geometry
# DOS at the Fermi energy = 17.66 states/eV per cell
# formation energy = -0.619 eV/atom
# magnetization = 0.0 μB per cell
data_Er4CuHgAu2
_chemical_formula_sum 'Er12 Cu3 Hg3 Au6'
_cell_length_a 5.0530
_cell_length_b 5.0530
_cell_length_c 24.7741
_cell_angle_alpha 90.00
_cell_angle_beta 90.00
_cell_angle_gamma 120.00
_space_group_name_H-M_alt 'R -3 m'
_space_group_IT_number 166
_space_group_name_Hall '-R 3 2"'
loop_
_atom_site_label
_atom_site_type_symbol
_atom_site_fract_x
_atom_site_fract_y
_atom_site_fract_z
Er1 Er 0.0000 0.0000 0.1204
Er2 Er 0.0000 0.0000 0.3712
Cu1 Cu 0.0000 0.0000 0.0000
Hg1 Hg 0.0000 0.0000 0.5000
Au1 Au 0.0000 0.0000 0.2489



No. 3
# Li2ErCuAu4 | the Alexandria database | GGA-PBE | optimized geometry
# DOS at the Fermi energy = 10.28 states/eV per cell
# formation energy = -0.513 eV/atom
# magnetization = 0.0 μB per cell
data_Li2ErCuAu4
_chemical_formula_sum 'Li6 Er3 Cu3 Au12'
_cell_length_a 4.4904
_cell_length_b 4.4904
_cell_length_c 24.3439
_cell_angle_alpha 90.00
_cell_angle_beta 90.00
_cell_angle_gamma 120.00
_space_group_name_H-M_alt 'R -3 m'
_space_group_IT_number 166
_space_group_name_Hall '-R 3 2"'
loop_
_atom_site_label
_atom_site_type_symbol
_atom_site_fract_x
_atom_site_fract_y
_atom_site_fract_z
Li1 Li 0.0000 0.0000 0.2389
Er1 Er 0.0000 0.0000 0.0000
Cu1 Cu 0.0000 0.0000 0.5000
Au1 Au 0.0000 0.0000 0.1268
Au2 Au 0.0000 0.0000 0.3925



No. 4
# ErLuCuAu | the Alexandria database | GGA-PBE | optimized geometry
# DOS at the Fermi energy = 10.68 states/eV per cell
# formation energy = -0.581 eV/atom
# magnetization = 0.0 μB per cell
data_ErLuCuAu
_chemical_formula_sum 'Er4 Lu4 Cu4 Au4'
_cell_length_a 6.9839
_cell_length_b 6.9839
_cell_length_c 6.9839
_cell_angle_alpha 90.00
_cell_angle_beta 90.00
_cell_angle_gamma 90.00
_space_group_name_H-M_alt 'F -4 3 m'
_space_group_IT_number 216
_space_group_name_Hall 'F -4 2 3'
loop_
_atom_site_label
_atom_site_type_symbol
_atom_site_fract_x
_atom_site_fract_y
_atom_site_fract_z
Er1 Er 0.0000 0.0000 0.0000
Lu1 Lu 0.0000 0.0000 0.5000
Cu1 Cu 0.2500 0.2500 0.2500
Au1 Au 0.2500 0.2500 0.7500



No. 5
# NaErCuAu | the Alexandria database | GGA-PBE | optimized geometry
# DOS at the Fermi energy = 9.24 states/eV per cell
# formation energy = -0.254 eV/atom
# magnetization = 0.0 μB per cell
data_NaErCuAu
_chemical_formula_sum 'Na4 Er4 Cu4 Au4'
_cell_length_a 6.9100
_cell_length_b 6.9100
_cell_length_c 6.9100
_cell_angle_alpha 90.00
_cell_angle_beta 90.00
_cell_angle_gamma 90.00
_space_group_name_H-M_alt 'F -4 3 m'
_space_group_IT_number 216
_space_group_name_Hall 'F -4 2 3'
loop_
_atom_site_label
_atom_site_type_symbol
_atom_site_fract_x
_atom_site_fract_y
_atom_site_fract_z
Na1 Na 0.0000 0.0000 0.0000
Er1 Er 0.0000 0.0000 0.5000
Cu1 Cu 0.2500 0.2500 0.7500
Au1 Au 0.2500 0.2500 0.2500



No. 6
# ErCuNiAu | the Alexandria database | GGA-PBE | optimized geometry
# DOS at the Fermi energy = 7.06 states/eV per cell
# formation energy = -0.360 eV/atom
# magnetization = 0.0 μB per cell
data_ErCuNiAu
_chemical_formula_sum 'Er4 Cu4 Ni4 Au4'
_cell_length_a 6.4205
_cell_length_b 6.4205
_cell_length_c 6.4205
_cell_angle_alpha 90.00
_cell_angle_beta 90.00
_cell_angle_gamma 90.00
_space_group_name_H-M_alt 'F -4 3 m'
_space_group_IT_number 216
_space_group_name_Hall 'F -4 2 3'
loop_
_atom_site_label
_atom_site_type_symbol
_atom_site_fract_x
_atom_site_fract_y
_atom_site_fract_z
Er1 Er 0.0000 0.0000 0.0000
Cu1 Cu 0.2500 0.2500 0.2500
Ni1 Ni 0.2500 0.2500 0.7500
Au1 Au 0.0000 0.0000 0.5000



Question: Look up the DOS at the Fermi energy of the second one.
Answer: 17.66 states/eV per cell



Repeat the third record exactly.
# Li2ErCuAu4 | the Alexandria database | GGA-PBE | optimized geometry
# DOS at the Fermi energy = 10.28 states/eV per cell
# formation energy = -0.513 eV/atom
# magnetization = 0.0 μB per cell
data_Li2ErCuAu4
_chemical_formula_sum 'Li6 Er3 Cu3 Au12'
_cell_length_a 4.4904
_cell_length_b 4.4904
_cell_length_c 24.3439
_cell_angle_alpha 90.00
_cell_angle_beta 90.00
_cell_angle_gamma 120.00
_space_group_name_H-M_alt 'R -3 m'
_space_group_IT_number 166
_space_group_name_Hall '-R 3 2"'
loop_
_atom_site_label
_atom_site_type_symbol
_atom_site_fract_x
_atom_site_fract_y
_atom_site_fract_z
Li1 Li 0.0000 0.0000 0.2389
Er1 Er 0.0000 0.0000 0.0000
Cu1 Cu 0.0000 0.0000 0.5000
Au1 Au 0.0000 0.0000 0.1268
Au2 Au 0.0000 0.0000 0.3925



Question: What is the formula in the first record?
Answer: ErCuGeAu



Question: Which value of formation energy does entry 4 give?
Answer: -0.581 eV/atom